Entry A
First-principles (GGA-PBE) data for BaPRhS2 after structural relaxation, as listed in the Alexandria database.

a b c (Å): 5.104 5.104 4.365
angles (deg): 90.00 90.00 90.00
Fractional coordinates of all 5 atoms:
1 P 0.000 0.000 0.500
2 S 0.000 0.500 0.000
3 S 0.500 0.000 0.000
4 Rh 0.000 0.000 0.000
5 Ba 0.500 0.500 0.500

## Properties
The value obtained for the calculated volume is 113.7 Å³/f.u. As for the crystal system: tetragonal.


Entry B
First-principles (GGA-PBE) data for BaPRhS2 after structural relaxation, as listed in the Alexandria database.

a b c (Å): 5.873 5.873 6.014
angles (deg): 90.00 90.00 90.00
Fractional coordinates of all 5 atoms:
1 P 0.000 0.000 0.500
2 S 0.000 0.500 0.000
3 S 0.500 0.000 0.000
4 Rh 0.500 0.500 0.500
5 Ba 0.000 0.000 0.000

## Properties
The value obtained for the calculated volume is 207.5 Å³/f.u. As for the crystal system: tetragonal.


So which one wins? Going from most stable to least: entry A, entry B.


Entry A
First-principles (GGA-PBE) data for BaP2RhS after structural relaxation, as listed in the Alexandria database.

a b c (Å): 5.517 5.517 5.604
angles (deg): 90.00 90.00 90.00
Fractional coordinates of all 5 atoms:
1 P 0.000 0.500 0.000
2 P 0.500 0.000 0.000
3 S 0.000 0.000 0.500
4 Rh 0.500 0.500 0.500
5 Ba 0.000 0.000 0.000

## Properties
The value obtained for the calculated volume is 170.6 Å³/f.u. As for the crystal system: tetragonal.


Entry B
First-principles (GGA-PBE) data for BaP2RhS after structural relaxation, as listed in the Alexandria database.

a b c (Å): 4.571 4.571 5.486
angles (deg): 90.00 90.00 90.00
Fractional coordinates of all 5 atoms:
1 P 0.000 0.500 0.000
2 P 0.500 0.000 0.000
3 S 0.000 0.000 0.500
4 Rh 0.000 0.000 0.000
5 Ba 0.500 0.500 0.500

## Properties
The value obtained for the calculated volume is 114.7 Å³/f.u. As for the crystal system: tetragonal.


So which one wins? Going from most stable to least: entry B, entry A.


Entry A
First-principles (GGA-PBE) data for Ba2TePRh after structural relaxation, as listed in the Alexandria database.

a b c (Å): 6.260 6.260 4.367
angles (deg): 90.00 90.00 90.00
Fractional coordinates of all 5 atoms:
1 P 0.000 0.000 0.000
2 Te 0.500 0.500 0.500
3 Rh 0.000 0.000 0.500
4 Ba 0.000 0.500 0.000
5 Ba 0.500 0.000 0.000

## Properties
The value obtained for the calculated volume is 171.1 Å³/f.u. As for the crystal system: tetragonal.


Entry B
First-principles (GGA-PBE) data for Ba2TePRh after structural relaxation, as listed in the Alexandria database.

a b c (Å): 6.186 6.186 4.413
angles (deg): 90.00 90.00 90.00
Fractional coordinates of all 5 atoms:
1 P 0.000 0.000 0.500
2 Te 0.500 0.500 0.500
3 Rh 0.000 0.000 0.000
4 Ba 0.000 0.500 0.000
5 Ba 0.500 0.000 0.000

## Properties
The value obtained for the calculated volume is 168.9 Å³/f.u. As for the crystal system: tetragonal.


So which one wins? Going from most stable to least: entry B, entry A.


Entry A
First-principles (GGA-PBE) data for BaPRuS2 after structural relaxation, as listed in the Alexandria database.

a b c (Å): 5.704 5.704 5.864
angles (deg): 90.00 90.00 90.00
Fractional coordinates of all 5 atoms:
1 Ru 0.500 0.500 0.500
2 S 0.000 0.500 0.000
3 S 0.500 0.000 0.000
4 Ba 0.000 0.000 0.000
5 P 0.000 0.000 0.500

## Properties
The value obtained for the calculated volume is 190.8 Å³/f.u. As for the crystal system: tetragonal.


Entry B
First-principles (GGA-PBE) data for BaPRuS2 after structural relaxation, as listed in the Alexandria database.

a b c (Å): 5.045 5.045 4.421
angles (deg): 90.00 90.00 90.00
Fractional coordinates of all 5 atoms:
1 Ru 0.000 0.000 0.000
2 S 0.000 0.500 0.000
3 S 0.500 0.000 0.000
4 Ba 0.500 0.500 0.500
5 P 0.000 0.000 0.500

## Properties
The value obtained for the calculated volume is 112.5 Å³/f.u. As for the crystal system: tetragonal.


So which one wins? Going from most stable to least: entry B, entry A.


Entry A
First-principles (GGA-PBE) data for Ba3PS after structural relaxation, as listed in the Alexandria database.

a b c (Å): 5.904 5.904 5.904
angles (deg): 90.00 90.00 90.00
Fractional coordinates of all 5 atoms:
1 P 0.500 0.500 0.500
2 S 0.000 0.000 0.000
3 Ba 0.000 0.500 0.000
4 Ba 0.000 0.000 0.500
5 Ba 0.500 0.000 0.000

## Properties
The value obtained for the calculated volume is 205.8 Å³/f.u. As for the crystal system: cubic.


Entry B
First-principles (GGA-PBE) data for Ba3PS after structural relaxation, as listed in the Alexandria database.

a b c (Å): 4.590 7.860 11.897
angles (deg): 102.43 90.00 90.00
Fractional coordinates of all 10 atoms:
1 Ba 0.250 0.544 0.339
2 Ba 0.750 0.456 0.661
3 Ba 0.250 0.985 0.662
4 Ba 0.750 0.270 0.990
5 Ba 0.750 0.015 0.338
6 Ba 0.250 0.730 0.010
7 P 0.750 0.637 0.170
8 P 0.250 0.363 0.830
9 S 0.750 0.766 0.519
10 S 0.250 0.234 0.481

## Properties
The value obtained for the calculated volume is 209.6 Å³/f.u. As for the crystal system: monoclinic.


So which one wins? Going from most stable to least: entry B, entry A.


Entry A
First-principles (GGA-PBE) data for BaScPS2 after structural relaxation, as listed in the Alexandria database.

a b c (Å): 5.511 5.511 5.431
angles (deg): 90.00 90.00 90.00
Fractional coordinates of all 5 atoms:
1 Sc 0.500 0.500 0.500
2 P 0.000 0.000 0.500
3 S 0.000 0.500 0.000
4 S 0.500 0.000 0.000
5 Ba 0.000 0.000 0.000

## Properties
The value obtained for the calculated volume is 165.0 Å³/f.u. As for the crystal system: tetragonal.


Entry B
First-principles (GGA-PBE) data for BaScPS2 after structural relaxation, as listed in the Alexandria database.

a b c (Å): 5.042 5.042 5.007
angles (deg): 90.00 90.00 90.00
Fractional coordinates of all 5 atoms:
1 Sc 0.000 0.000 0.000
2 P 0.000 0.000 0.500
3 S 0.000 0.500 0.000
4 S 0.500 0.000 0.000
5 Ba 0.500 0.500 0.500

## Properties
The value obtained for the calculated volume is 127.3 Å³/f.u. As for the crystal system: tetragonal.


So which one wins? Going from most stable to least: entry B, entry A.